First-principles (PBE-GGA) data for a geometry-optimized Li2Nb2PdSe6 structure, as listed in Alexandria.

abc: 6.492 6.492 6.847
angles: 96.59 96.59 123.35
Fractional coordinates of all 11 atoms:
Li: 0.175 0.825 0.000
Li: 0.825 0.175 0.000
Nb: 0.367 0.633 0.500
Nb: 0.633 0.367 0.500
Pd: 0.000 0.000 0.500
Se: 0.044 0.408 0.718
Se: 0.247 0.247 0.237
Se: 0.408 0.044 0.718
Se: 0.592 0.956 0.282
Se: 0.753 0.753 0.763
Se: 0.956 0.592 0.282

Calculated values
SG   C2/m (12)
Energy   -58.229 eV per cell
Density of states at the Fermi level   7.05 states/eV per cell
Energy relative to the elements, uncorrected   -0.742 eV per atom
Crystal system   monoclinic